VASP calculation (PBE) on a geometry-optimized YMg2Ir structure.

Properties
M_tot	0.0000	μB/atom
calculated formation energy	-1.41	eV per formula unit
raw total energy	-19.93	eV per cell

a b c (Å): 3.330 3.330 7.786
angles (deg): 90.00 90.00 90.00
Atoms (fractional coordinates):
Y 0.000 0.000 0.000
Mg 0.000 0.000 0.405
Mg 0.500 0.500 0.665
Ir 0.500 0.500 0.219